(1)
A relaxed structure of CrCoF6. Source: the Alexandria database, functional PBE+U.

The value obtained for the raw total energy is -5.125 eV/atom. As for the crystal system: monoclinic.

It has space group C2/c (No. 15), with a = 9.3096 Å, b = 5.9751 Å, c = 7.5909 Å, α = 90.00°, β = 101.13° and γ = 90.00°. The distinct sites, in fractional coordinates, are Cr at (0.2500, 0.2500, 0.0000), Co at (0.0000, 0.0356, 0.2500), F at (0.0929, 0.2876, 0.1176), F at (0.1338, 0.2904, 0.7803) and F at (0.1715, 0.0475, 0.4620).



(2)
A relaxed structure of CrCoF4. Source: the Alexandria database, functional PBE+U.

The value obtained for the raw total energy is -5.624 eV/atom. As for the crystal system: tetragonal.

It has space group I-4m2 (No. 119), with a = 4.0031 Å, b = 4.0031 Å, c = 10.4963 Å, α = 90.00°, β = 90.00° and γ = 90.00°. The distinct sites, in fractional coordinates, are Cr at (0.0000, 0.0000, 0.0000), Co at (0.0000, 0.5000, 0.7500), F at (0.0000, 0.0000, 0.2269) and F at (0.0000, 0.5000, 0.5397).



(3)
A relaxed structure of CrCoF3. Source: the Alexandria database, functional PBE+U.

Its distance to the lowest polymorph of the same formula is 98 meV/atom. As for the crystal system: cubic.

It has space group Pm-3m (No. 221), with a = 4.1247 Å, b = 4.1247 Å, c = 4.1247 Å, α = 90.00°, β = 90.00° and γ = 90.00°. The distinct sites, in fractional coordinates, are Cr at (0.0000, 0.0000, 0.0000), Co at (0.5000, 0.5000, 0.5000) and F at (0.0000, 0.0000, 0.5000).



| no. | volume (A^3/atom) |
| --- | --- |
| 1 | 12.947 |
| 2 | 14.017 |
| 3 | 14.035 |